Material: V2Cu3H6O11
Method: DFT, PBEsol
State: optimized geometry

Computed properties:
Final energy ... -0.231 hartree per atom
Excess energy over the best structure of this formula in the dataset ... 0.0 meV per atom

abc: 5.807 8.787 9.869
angles: 69.91 72.89 70.70
Last column: magnetic moment on the atom in μB.
Positions (direct):
H: 0.348 0.641 0.890  0.00
H: 0.378 0.864 0.607  0.00
V: 0.597 0.126 0.129  0.01
O: 0.420 0.654 0.509  -0.04
V: 0.149 0.626 0.629  0.01
H: 0.837 0.153 0.419  0.00
V: 0.903 0.879 0.868  0.01
Cu: 0.502 0.251 0.755  0.52
O: 0.189 0.910 0.210  0.08
O: 0.079 0.350 0.488  -0.04
Cu: 0.007 0.254 0.743  0.52
O: 0.671 0.916 0.231  0.10
O: 0.829 0.089 0.766  0.10
V: 0.351 0.379 0.368  0.01
Cu: 0.997 0.754 0.243  0.52
H: 0.628 0.489 0.780  0.00
H: 0.662 0.852 0.577  0.00
H: 0.121 0.141 0.390  0.00
O: 0.648 0.813 0.960  0.02
O: 0.316 0.589 0.266  0.10
O: 0.416 0.154 0.009  -0.04
O: 0.183 0.416 0.731  0.10
O: 0.920 0.692 0.537  0.02
H: 0.151 0.364 0.107  0.00
H: 0.103 0.989 0.280  0.00
H: 0.396 0.016 0.717  0.00
O: 0.978 0.428 0.100  0.00
O: 0.093 0.753 0.748  0.00
O: 0.521 0.577 0.896  0.00
O: 0.692 0.410 0.710  0.08
H: 0.871 0.516 0.217  0.00
O: 0.006 0.077 0.396  0.00
O: 0.083 0.850 0.988  -0.04
O: 0.310 0.095 0.787  0.08
H: 0.908 0.352 0.077  0.00
O: 0.406 0.253 0.248  0.00
O: 0.808 0.595 0.287  0.08
H: 0.591 0.653 0.919  0.00
O: 0.580 0.313 0.460  0.02
O: 0.493 0.928 0.600  0.00
Cu: 0.493 0.751 0.255  0.52
O: 0.852 0.192 0.037  0.02
Cu: 0.750 0.502 0.498  -0.43
Cu: 0.250 0.002 0.998  -0.43